DFT (PBE) results for a relaxed NdDyHoCd crystal.

## Properties
As for the offset from the most stable computed form: 0.0000 eV per atom. For the density of states at the Fermi level, the calculation gives 1.0262 states/eV/atom. The spin magnetization is 0.00 μB/cell. For the calculated volume, the calculation gives 29.68 Å³ per atom. As for the space group: P4mm. The total energy is -3.8663 eV/atom.

abc: 3.627 3.627 9.023
angles: 90.00 90.00 90.00
Sites, in units of the cell vectors:
Nd  0.000  0.000  0.000
Dy  0.500  0.500  0.721
Ho  0.500  0.500  0.278
Cd  0.000  0.000  0.498